No. 1
Here is a relaxed LiZnCr crystal from Alexandria via LeMat-Bulk. Energies are from GGA-PBE. Values from VASP.

```
&SYSTEM
  ibrav = 0, nat = 12, ntyp = 3
/
ATOMIC_SPECIES
Li 6.94 Li.upf
Zn 65.41 Zn.upf
Cr 52.00 Cr.upf
ATOMIC_POSITIONS crystal
Li 0.000 0.000 0.000
Li 0.500 0.500 0.000
Li 0.500 0.000 0.500
Li 0.000 0.500 0.500
Zn 0.335 0.000 0.000
Zn 0.665 0.000 0.000
Zn 0.835 0.500 0.000
Zn 0.165 0.500 0.000
Cr 0.190 0.000 0.500
Cr 0.810 0.000 0.500
Cr 0.690 0.500 0.500
Cr 0.310 0.500 0.500
CELL_PARAMETERS angstrom
-2.996 6.976 -10.295
-2.895 -0.350 0.605
0.071 3.621 2.433
```

Properties
* symmetry: Cmmm
* ρ: 4.97 g cm⁻³
* energy of formation from the pure elements: 156 meV per atom
* density of states at the Fermi level: 5.0 states/eV per cell
* M_tot: 0.00 μB/cell
* total energy: -4.1142 eV/atom

***

No. 2
Here is a relaxed RbPdN2F crystal from Alexandria via LeMat-Bulk. Energies are from GGA-PBE. Values from VASP.

```
&SYSTEM
  ibrav = 0, nat = 5, ntyp = 4
/
ATOMIC_SPECIES
N 14.01 N.upf
Rb 85.47 Rb.upf
Pd 106.42 Pd.upf
F 19.00 F.upf
ATOMIC_POSITIONS crystal
N 0.000 0.500 0.000
N 0.500 0.000 0.000
Rb 0.000 0.000 0.000
Pd 0.500 0.500 0.500
F 0.000 0.000 0.500
CELL_PARAMETERS angstrom
-2.180 3.520 3.681
-1.844 -4.278 2.999
4.281 -0.040 2.574
```

Properties
* symmetry: P4/mmm
* ρ: 2.59 g cm⁻³
* density of states at the Fermi level: 6.5 states/eV per cell
* formation energy (no corrections): 874 kJ/mol of formula units
* M_tot: 6.03 μB/cell
* total energy: -3.1253 eV/atom

***

No. 3
Here is a relaxed TmPaSn2 crystal from Alexandria via LeMat-Bulk. Energies are from GGA-PBE. Values from VASP.

```
&SYSTEM
  ibrav = 0, nat = 4, ntyp = 3
/
ATOMIC_SPECIES
Pa 231.04 Pa.upf
Tm 168.93 Tm.upf
Sn 118.71 Sn.upf
ATOMIC_POSITIONS crystal
Pa 0.500 0.500 0.000
Tm 0.500 0.500 0.500
Sn 0.000 0.000 0.746
Sn 0.000 0.000 0.254
CELL_PARAMETERS angstrom
-1.696 1.470 2.508
1.077 -2.379 2.123
7.206 4.997 1.943
```

Properties
* symmetry: P4/mmm
* ρ: 10.40 g cm⁻³
* energy of formation from the pure elements: -360 meV per atom
* density of states at the Fermi level: 5.7 states/eV per cell
* M_tot: 0.41 μB/cell
* total energy: -5.8529 eV/atom

***

No. 4
Here is a relaxed KU2AuS6 crystal from Alexandria via LeMat-Bulk. Energies are from GGA-PBE. Values from VASP.

```
&SYSTEM
  ibrav = 0, nat = 20, ntyp = 4
/
ATOMIC_SPECIES
K 39.10 K.upf
U 238.03 U.upf
Au 196.97 Au.upf
S 32.06 S.upf
ATOMIC_POSITIONS crystal
K 0.250 0.899 0.101
K 0.750 0.101 0.899
U 0.430 0.721 0.540
U 0.070 0.460 0.279
U 0.570 0.279 0.460
U 0.930 0.540 0.721
Au 0.250 0.267 0.733
Au 0.750 0.733 0.267
S 0.324 0.917 0.758
S 0.176 0.242 0.083
S 0.676 0.083 0.242
S 0.824 0.758 0.917
S 0.351 0.863 0.402
S 0.149 0.598 0.137
S 0.649 0.137 0.598
S 0.851 0.402 0.863
S 0.943 0.679 0.543
S 0.557 0.457 0.321
S 0.057 0.321 0.457
S 0.443 0.543 0.679
CELL_PARAMETERS angstrom
5.421 -0.113 -0.117
1.750 10.312 -1.971
1.750 -2.351 10.232
```

Properties
* symmetry: C2/c
* ρ: 5.44 g cm⁻³
* density of states at the Fermi level: 13.8 states/eV per cell
* formation energy (no corrections): -927 kJ/mol of formula units
* M_tot: 4.03 μB/cell
* total energy: -6.1322 eV/atom

***

Q: Which value of ρ does entry 3 give?
A: 10.40 g cm⁻³

***

Q: The highest M_tot belongs to which entry?
A: RbPdN2F

***

Q: total energy of number 3 (TmPaSn2)?
A: -5.8529 eV/atom